# 1
# NaSr2TiFe

An optimized crystal structure of NaSr2TiFe (GGA-PBEsol, the Alexandria database).

Values from the calculation:
ρ: 3.191 g cm⁻³
Size of the total moment: 0.11 μB per formula unit
DOS(E_F): 1.11 states/eV per atom
E_form: 0.454 eV per atom
Volume: 31.4 Å³ per atom
Total energy: -4.019 eV per atom

abc: 4.2865 6.0541 6.0541
angles: 90.00 90.00 90.00
Fractional positions:
1 Na 0.5000 0.5000 0.5000
2 Fe 0.0000 0.0000 0.0000
3 Sr 0.0000 0.5000 0.0000
4 Sr 0.0000 0.0000 0.5000
5 Ti 0.5000 0.0000 0.0000

---

# 2
# NaSrZr2Fe

An optimized crystal structure of NaSrZr2Fe (GGA-PBEsol, the Alexandria database).

Values from the calculation:
ρ: 4.269 g cm⁻³
Size of the total moment: 0.00 μB per formula unit
DOS(E_F): 1.18 states/eV per atom
E_form: 0.473 eV per atom
Volume: 27.1 Å³ per atom
Total energy: -5.604 eV per atom

abc: 4.7871 4.7871 5.9217
angles: 90.00 90.00 90.00
Fractional positions:
1 Sr 0.0000 0.0000 0.5000
2 Na 0.5000 0.5000 0.5000
3 Zr 0.0000 0.5000 0.0000
4 Zr 0.5000 0.0000 0.0000
5 Fe 0.0000 0.0000 0.0000